Ga2Sb3: relaxed, PBE-GGA.

Computed properties:
As for the electronic total energy: -3.51 eV/atom. Its volume is 27.25 A^3/atom. The density of states at the Fermi level comes out at 4.99 states/eV/cell. Its uncorrected formation energy is 0.171 eV per atom. Its crystal system is trigonal.

abc: 7.276 7.276 7.276
angles: 60.01 60.01 60.01
Sites, in units of the cell vectors:
Ga 0.122 0.122 0.122
Ga 0.378 0.378 0.378
Ga 0.622 0.622 0.622
Ga 0.878 0.878 0.878
Sb 0.017 0.750 0.483
Sb 0.250 0.517 0.983
Sb 0.483 0.017 0.750
Sb 0.517 0.983 0.250
Sb 0.750 0.483 0.017
Sb 0.983 0.250 0.517